Record 1
# Ca3TlHg

Crystalline Ca3TlHg at its relaxed geometry (PBE, the Alexandria database).

```
data_Ca3TlHg
_chemical_formula_sum 'Ca12 Tl4 Hg4'
_cell_length_a 5.4902
_cell_length_b 20.5917
_cell_length_c 5.4857
_cell_angle_alpha 90.00
_cell_angle_beta 90.00
_cell_angle_gamma 90.00
_space_group_name_H-M_alt 'C m c m'
_space_group_IT_number 63
_space_group_name_Hall '-C 2c 2'
loop_
_atom_site_label
_atom_site_type_symbol
_atom_site_fract_x
_atom_site_fract_y
_atom_site_fract_z
Ca1 Ca 0.0000 0.0694 0.2500
Ca2 Ca 0.0000 0.2495 0.2500
Ca3 Ca 0.0000 0.4295 0.2500
Tl1 Tl 0.0000 0.1558 0.7500
Hg1 Hg 0.0000 0.3451 0.7500
```

Record 2
# CaTlHg4

Crystalline CaTlHg4 at its relaxed geometry (PBE, the Alexandria database).

```
data_CaTlHg4
_chemical_formula_sum 'Ca1 Tl1 Hg4'
_cell_length_a 4.4596
_cell_length_b 4.4596
_cell_length_c 9.3763
_cell_angle_alpha 90.00
_cell_angle_beta 90.00
_cell_angle_gamma 90.00
_space_group_name_H-M_alt 'P 4/m m m'
_space_group_IT_number 123
_space_group_name_Hall '-P 4 2'
loop_
_atom_site_label
_atom_site_type_symbol
_atom_site_fract_x
_atom_site_fract_y
_atom_site_fract_z
Ca1 Ca 0.0000 0.0000 0.0000
Tl1 Tl 0.5000 0.5000 0.5000
Hg1 Hg 0.0000 0.5000 0.2434
```

Offset from the most stable computed form list, top to bottom, in eV per formula unit: 0.00; 0.66
Density list, top to bottom, in g/cm3: 5.6; 9.3